1.
# Tm5Cd2Co2Ag (PBE, relaxed)
data_Tm5Cd2Co2Ag
_cell_length_a 11.348
_cell_length_b 11.348
_cell_length_c 3.533
_cell_angle_alpha 90.00
_cell_angle_beta 90.00
_cell_angle_gamma 90.00
_space_group_name_H-M_alt 'P 4/m b m'
_space_group_IT_number 127
_space_group_name_Hall '-P 4 2ab'
loop_
_atom_site_label
_atom_site_fract_x
_atom_site_fract_y
_atom_site_fract_z
Tm1 0.000 0.500 0.000
Tm2 0.076 0.209 0.000
Cd1 0.174 0.674 0.500
Co1 0.128 0.372 0.500
Ag1 0.000 0.000 0.500
# crystal system	tetragonal

2.
# Cr2CdAg4 (PBE, relaxed)
data_Cr2CdAg4
_cell_length_a 5.079
_cell_length_b 5.079
_cell_length_c 13.770
_cell_angle_alpha 90.00
_cell_angle_beta 90.00
_cell_angle_gamma 90.00
_space_group_name_H-M_alt 'I 4/m m m'
_space_group_IT_number 139
_space_group_name_Hall '-I 4 2'
loop_
_atom_site_label
_atom_site_fract_x
_atom_site_fract_y
_atom_site_fract_z
Cr1 0.000 0.000 0.106
Cd1 0.000 0.000 0.500
Ag1 0.000 0.000 0.301
Ag2 0.000 0.500 0.000
# crystal system	tetragonal

3.
# Cr2CdAg (PBE, relaxed)
data_Cr2CdAg
_cell_length_a 2.9900
_cell_length_b 2.9900
_cell_length_c 27.8751
_cell_angle_alpha 90.00
_cell_angle_beta 90.00
_cell_angle_gamma 120.00
_space_group_name_H-M_alt 'R -3 m'
_space_group_IT_number 166
_space_group_name_Hall '-R 3 2"'
loop_
_atom_site_label
_atom_site_fract_x
_atom_site_fract_y
_atom_site_fract_z
Cr1 0.0000 0.0000 0.2482
Cd1 0.0000 0.0000 0.0000
Ag1 0.0000 0.0000 0.5000
# crystal system	trigonal

4.
# Cr2CdAg (PBE, relaxed)
data_Cr2CdAg
_cell_length_a 4.909
_cell_length_b 3.028
_cell_length_c 5.005
_cell_angle_alpha 90.00
_cell_angle_beta 107.35
_cell_angle_gamma 90.00
_space_group_name_H-M_alt 'P 1 2/m 1'
_space_group_IT_number 10
loop_
_space_group_symop_operation_xyz
'x,y,z'
'-x,-y,-z'
'-x,y,-z'
'x,-y,z'
loop_
_atom_site_label
_atom_site_fract_x
_atom_site_fract_y
_atom_site_fract_z
Cr1 0.000 0.000 0.000
Cr2 0.000 0.500 0.500
Cd1 0.500 0.000 0.500
Ag1 0.500 0.500 0.000
# crystal system	monoclinic

5.
# CrCd3Ag (PBE, relaxed)
data_CrCd3Ag
_cell_length_a 5.214
_cell_length_b 5.214
_cell_length_c 5.214
_cell_angle_alpha 90.00
_cell_angle_beta 90.00
_cell_angle_gamma 90.00
_space_group_name_H-M_alt 'P m -3 m'
_space_group_IT_number 221
_space_group_name_Hall '-P 4 2 3'
loop_
_atom_site_label
_atom_site_fract_x
_atom_site_fract_y
_atom_site_fract_z
Cr1 0.000 0.000 0.000
Cd1 0.000 0.500 0.500
Ag1 0.500 0.500 0.500
# crystal system	cubic
# excess energy over the best structure of this formula in the dataset	0	meV per atom

6.
# Cr2CdAg (PBE, relaxed)
data_Cr2CdAg
_cell_length_a 3.586
_cell_length_b 3.586
_cell_length_c 5.407
_cell_angle_alpha 90.00
_cell_angle_beta 90.00
_cell_angle_gamma 90.00
_space_group_name_H-M_alt 'P 4/m m m'
_space_group_IT_number 123
_space_group_name_Hall '-P 4 2'
loop_
_atom_site_label
_atom_site_fract_x
_atom_site_fract_y
_atom_site_fract_z
Cr1 0.000 0.000 0.172
Cd1 0.500 0.500 0.500
Ag1 0.500 0.500 0.000
# crystal system	tetragonal

7.
# Cr2CdAg (PBE, relaxed)
data_Cr2CdAg
_cell_length_a 3.627
_cell_length_b 3.819
_cell_length_c 8.820
_cell_angle_alpha 90.00
_cell_angle_beta 90.00
_cell_angle_gamma 90.00
_space_group_name_H-M_alt 'I m m m'
_space_group_IT_number 71
_space_group_name_Hall '-I 2 2'
loop_
_atom_site_label
_atom_site_fract_x
_atom_site_fract_y
_atom_site_fract_z
Cr1 0.000 0.000 0.250
Cd1 0.000 0.500 0.000
Ag1 0.000 0.500 0.500
# crystal system	orthorhombic

8.
# Cr2CdAg (PBE, relaxed)
data_Cr2CdAg
_cell_length_a 4.022
_cell_length_b 4.132
_cell_length_c 8.213
_cell_angle_alpha 90.00
_cell_angle_beta 90.00
_cell_angle_gamma 90.00
_space_group_name_H-M_alt 'I m m 2'
_space_group_IT_number 44
loop_
_space_group_symop_operation_xyz
'x,y,z'
'-x,-y,z'
'-x,y,z'
'x,-y,z'
'x+1/2,y+1/2,z+1/2'
'-x+1/2,-y+1/2,z+1/2'
'-x+1/2,y+1/2,z+1/2'
'x+1/2,-y+1/2,z+1/2'
loop_
_atom_site_label
_atom_site_fract_x
_atom_site_fract_y
_atom_site_fract_z
Cr1 0.000 0.000 0.000
Cr2 0.000 0.500 0.256
Cd1 0.000 0.000 0.503
Ag1 0.000 0.500 0.752
# crystal system	orthorhombic

9.
# Cr2CdAg (PBE, relaxed)
data_Cr2CdAg
_cell_length_a 2.972
_cell_length_b 4.673
_cell_length_c 9.106
_cell_angle_alpha 90.00
_cell_angle_beta 90.00
_cell_angle_gamma 90.00
_space_group_name_H-M_alt 'C m m 2'
_space_group_IT_number 35
loop_
_space_group_symop_operation_xyz
'x,y,z'
'-x,-y,z'
'-x,y,z'
'x,-y,z'
'x+1/2,y+1/2,z'
'-x+1/2,-y+1/2,z'
'-x+1/2,y+1/2,z'
'x+1/2,-y+1/2,z'
loop_
_atom_site_label
_atom_site_fract_x
_atom_site_fract_y
_atom_site_fract_z
Cr1 0.000 0.000 0.000
Cr2 0.000 0.500 0.176
Cd1 0.000 0.500 0.727
Ag1 0.000 0.000 0.438
# crystal system	orthorhombic

10.
# Cr2CdAg (PBE, relaxed)
data_Cr2CdAg
_cell_length_a 4.658
_cell_length_b 4.658
_cell_length_c 3.302
_cell_angle_alpha 90.00
_cell_angle_beta 90.00
_cell_angle_gamma 90.00
_space_group_name_H-M_alt 'P 4/m m m'
_space_group_IT_number 123
_space_group_name_Hall '-P 4 2'
loop_
_atom_site_label
_atom_site_fract_x
_atom_site_fract_y
_atom_site_fract_z
Cr1 0.000 0.500 0.000
Cd1 0.000 0.000 0.500
Ag1 0.500 0.500 0.500
# crystal system	tetragonal

11.
# Cr2CdAg (PBE, relaxed)
data_Cr2CdAg
_cell_length_a 6.517
_cell_length_b 6.517
_cell_length_c 6.517
_cell_angle_alpha 90.00
_cell_angle_beta 90.00
_cell_angle_gamma 90.00
_space_group_name_H-M_alt 'F -4 3 m'
_space_group_IT_number 216
_space_group_name_Hall 'F -4 2 3'
loop_
_atom_site_label
_atom_site_fract_x
_atom_site_fract_y
_atom_site_fract_z
Cr1 0.000 0.000 0.000
Cr2 0.250 0.250 0.250
Cd1 0.250 0.250 0.750
Ag1 0.000 0.000 0.500
# crystal system	cubic

12.
# Cr4CdAg (PBE, relaxed)
data_Cr4CdAg
_cell_length_a 6.964
_cell_length_b 6.964
_cell_length_c 6.964
_cell_angle_alpha 90.00
_cell_angle_beta 90.00
_cell_angle_gamma 90.00
_space_group_name_H-M_alt 'F -4 3 m'
_space_group_IT_number 216
_space_group_name_Hall 'F -4 2 3'
loop_
_atom_site_label
_atom_site_fract_x
_atom_site_fract_y
_atom_site_fract_z
Cr1 0.123 0.123 0.123
Cd1 0.000 0.000 0.500
Ag1 0.250 0.250 0.750
# crystal system	cubic

13.
# Cr2CdAg (PBE, relaxed)
data_Cr2CdAg
_cell_length_a 2.8806
_cell_length_b 2.8806
_cell_length_c 26.6958
_cell_angle_alpha 90.00
_cell_angle_beta 90.00
_cell_angle_gamma 120.00
_space_group_name_H-M_alt 'R 3 m'
_space_group_IT_number 160
_space_group_name_Hall 'R 3 -2"'
loop_
_atom_site_label
_atom_site_fract_x
_atom_site_fract_y
_atom_site_fract_z
Cr1 0.0000 0.0000 0.0000
Cr2 0.0000 0.0000 0.2776
Cd1 0.0000 0.0000 0.5179
Ag1 0.0000 0.0000 0.7550
# crystal system	trigonal

14.
# Cr2CdAg2 (PBE, relaxed)
data_Cr2CdAg2
_cell_length_a 3.223
_cell_length_b 3.223
_cell_length_c 16.220
_cell_angle_alpha 90.00
_cell_angle_beta 90.00
_cell_angle_gamma 90.00
_space_group_name_H-M_alt 'I 4/m m m'
_space_group_IT_number 139
_space_group_name_Hall '-I 4 2'
loop_
_atom_site_label
_atom_site_fract_x
_atom_site_fract_y
_atom_site_fract_z
Cr1 0.000 0.500 0.250
Cd1 0.000 0.000 0.000
Ag1 0.000 0.000 0.390
# crystal system	tetragonal

15.
# Cr2CdAg (PBE, relaxed)
data_Cr2CdAg
_cell_length_a 5.252
_cell_length_b 8.795
_cell_length_c 2.648
_cell_angle_alpha 90.00
_cell_angle_beta 92.31
_cell_angle_gamma 90.00
_space_group_name_H-M_alt 'C 1 2/m 1'
_space_group_IT_number 12
loop_
_space_group_symop_operation_xyz
'x,y,z'
'-x,-y,-z'
'-x,y,-z'
'x,-y,z'
'x+1/2,y+1/2,z'
'-x+1/2,-y+1/2,-z'
'-x+1/2,y+1/2,-z'
'x+1/2,-y+1/2,z'
loop_
_atom_site_label
_atom_site_fract_x
_atom_site_fract_y
_atom_site_fract_z
Cr1 0.250 0.250 0.000
Cd1 0.000 0.000 0.500
Ag1 0.000 0.500 0.500
# crystal system	monoclinic

16.
# CrCdAg4 (PBE, relaxed)
data_CrCdAg4
_cell_length_a 7.757
_cell_length_b 7.757
_cell_length_c 7.757
_cell_angle_alpha 90.00
_cell_angle_beta 90.00
_cell_angle_gamma 90.00
_space_group_name_H-M_alt 'F -4 3 m'
_space_group_IT_number 216
_space_group_name_Hall 'F -4 2 3'
loop_
_atom_site_label
_atom_site_fract_x
_atom_site_fract_y
_atom_site_fract_z
Cr1 0.000 0.000 0.000
Cd1 0.250 0.250 0.750
Ag1 0.125 0.125 0.375
# crystal system	cubic

17.
# Cr2CdAg (PBE, relaxed)
data_Cr2CdAg
_cell_length_a 2.835
_cell_length_b 2.835
_cell_length_c 7.992
_cell_angle_alpha 90.00
_cell_angle_beta 90.00
_cell_angle_gamma 90.00
_space_group_name_H-M_alt 'P 4 m m'
_space_group_IT_number 99
loop_
_space_group_symop_operation_xyz
'x,y,z'
'-y,x,z'
'-x,-y,z'
'y,-x,z'
'-x,y,z'
'y,x,z'
'x,-y,z'
'-y,-x,z'
loop_
_atom_site_label
_atom_site_fract_x
_atom_site_fract_y
_atom_site_fract_z
Cr1 0.000 0.000 0.000
Cr2 0.500 0.500 0.195
Cd1 0.500 0.500 0.733
Ag1 0.000 0.000 0.448
# crystal system	tetragonal

18.
# Cr2CdAg (PBE, relaxed)
data_Cr2CdAg
_cell_length_a 7.274
_cell_length_b 7.274
_cell_length_c 5.116
_cell_angle_alpha 90.00
_cell_angle_beta 90.00
_cell_angle_gamma 90.00
_space_group_name_H-M_alt 'I -4 2 d'
_space_group_IT_number 122
_space_group_name_Hall 'I -4 2bw'
loop_
_atom_site_label
_atom_site_fract_x
_atom_site_fract_y
_atom_site_fract_z
Cr1 0.243 0.250 0.125
Cd1 0.000 0.000 0.500
Ag1 0.000 0.000 0.000
# crystal system	tetragonal

19.
# Cr2CdAg (PBE, relaxed)
data_Cr2CdAg
_cell_length_a 2.796
_cell_length_b 4.444
_cell_length_c 5.303
_cell_angle_alpha 90.00
_cell_angle_beta 90.46
_cell_angle_gamma 90.00
_space_group_name_H-M_alt 'P 1 2/m 1'
_space_group_IT_number 10
loop_
_space_group_symop_operation_xyz
'x,y,z'
'-x,-y,-z'
'-x,y,-z'
'x,-y,z'
loop_
_atom_site_label
_atom_site_fract_x
_atom_site_fract_y
_atom_site_fract_z
Cr1 0.000 0.000 0.181
Cd1 0.500 0.500 0.500
Ag1 0.500 0.500 0.000
# crystal system	monoclinic

20.
# Cr2CdAg (PBE, relaxed)
data_Cr2CdAg
_cell_length_a 10.185
_cell_length_b 2.965
_cell_length_c 4.686
_cell_angle_alpha 90.00
_cell_angle_beta 109.95
_cell_angle_gamma 90.00
_space_group_name_H-M_alt 'C 1 2/m 1'
_space_group_IT_number 12
loop_
_space_group_symop_operation_xyz
'x,y,z'
'-x,-y,-z'
'-x,y,-z'
'x,-y,z'
'x+1/2,y+1/2,z'
'-x+1/2,-y+1/2,-z'
'-x+1/2,y+1/2,-z'
'x+1/2,-y+1/2,z'
loop_
_atom_site_label
_atom_site_fract_x
_atom_site_fract_y
_atom_site_fract_z
Cr1 0.246 0.000 0.158
Cd1 0.000 0.000 0.500
Ag1 0.000 0.500 0.000
# crystal system	monoclinic

no.,DOS at the Fermi energy (states/eV/cell),E (eV for the cell shown)
1,12.65,-87.64
2,7.38,-49.78
3,11.17,-61.06
4,3.75,-20.40
5,2.32,-11.70
6,2.13,-20.11
7,7.94,-40.33
8,3.83,-43.07
9,5.01,-43.24
10,2.51,-20.81
11,9.47,-85.45
12,30.08,-156.00
13,9.68,-65.09
14,5.75,-46.60
15,7.08,-40.18
16,9.14,-80.99
17,3.26,-21.14
18,34.34,-71.70
19,2.59,-20.43
20,5.04,-41.33